# PrNd2Tm3Sb6, optimized geometry, DFT GGA-PBE
data_PrNd2Tm3Sb6
_chemical_formula_sum 'Pr1 Nd2 Tm3 Sb6'
_space_group_name_H-M_alt 'P 1'
_space_group_IT_number 1
_cell_length_a 4.441
_cell_length_b 8.866
_cell_length_c 9.914
_cell_angle_alpha 102.72
_cell_angle_beta 102.94
_cell_angle_gamma 90.00
loop_
_space_group_symop_operation_xyz
'x,y,z'
loop_
_atom_site_label
_atom_site_type_symbol
_atom_site_fract_x
_atom_site_fract_y
_atom_site_fract_z
_atom_site_occupancy
Pr1 Pr 0.500 0.000 0.000 1
Nd1 Nd 0.833 0.667 0.666 1
Nd2 Nd 0.167 0.333 0.334 1
Tm1 Tm 0.500 0.500 0.000 1
Tm2 Tm 0.834 0.167 0.667 1
Tm3 Tm 0.166 0.833 0.333 1
Sb1 Sb 0.330 0.923 0.660 1
Sb2 Sb 0.664 0.590 0.328 1
Sb3 Sb 0.670 0.077 0.340 1
Sb4 Sb 0.997 0.258 0.995 1
Sb5 Sb 0.003 0.742 0.005 1
Sb6 Sb 0.336 0.410 0.672 1
# Formation energy without anion corrections   -1.12 eV per atom

# PrNdZnSb, optimized geometry, DFT GGA-PBE
data_PrNdZnSb
_chemical_formula_sum 'Pr1 Nd1 Zn1 Sb1'
_space_group_name_H-M_alt 'P 1'
_space_group_IT_number 1
_cell_length_a 5.378
_cell_length_b 5.378
_cell_length_c 5.378
_cell_angle_alpha 60.00
_cell_angle_beta 60.00
_cell_angle_gamma 60.00
loop_
_space_group_symop_operation_xyz
'x,y,z'
loop_
_atom_site_label
_atom_site_type_symbol
_atom_site_fract_x
_atom_site_fract_y
_atom_site_fract_z
_atom_site_occupancy
Pr1 Pr 0.500 0.500 0.500 1
Sb1 Sb 0.750 0.750 0.750 1
Zn1 Zn 0.250 0.250 0.250 1
Nd1 Nd 0.000 0.000 0.000 1
# Formation energy without anion corrections   -0.58 eV per atom

# Pr14NdSc, optimized geometry, DFT GGA-PBE
data_Pr14NdSc
_chemical_formula_sum 'Pr14 Nd1 Sc1'
_space_group_name_H-M_alt 'P 1'
_space_group_IT_number 1
_cell_length_a 7.364
_cell_length_b 7.364
_cell_length_c 10.426
_cell_angle_alpha 90.00
_cell_angle_beta 90.00
_cell_angle_gamma 90.00
loop_
_space_group_symop_operation_xyz
'x,y,z'
loop_
_atom_site_label
_atom_site_type_symbol
_atom_site_fract_x
_atom_site_fract_y
_atom_site_fract_z
_atom_site_occupancy
Pr1 Pr 0.375 0.625 0.500 1
Pr2 Pr 0.875 0.125 0.500 1
Pr3 Pr 0.875 0.625 0.000 1
Pr4 Pr 0.875 0.625 0.500 1
Pr5 Pr 0.375 0.125 0.000 1
Pr6 Pr 0.375 0.125 0.500 1
Pr7 Pr 0.628 0.878 0.755 1
Pr8 Pr 0.628 0.878 0.245 1
Pr9 Pr 0.122 0.372 0.755 1
Pr10 Pr 0.122 0.372 0.245 1
Pr11 Pr 0.121 0.879 0.754 1
Pr12 Pr 0.121 0.879 0.246 1
Pr13 Pr 0.629 0.371 0.755 1
Pr14 Pr 0.629 0.371 0.245 1
Nd1 Nd 0.375 0.625 0.000 1
Sc1 Sc 0.875 0.125 0.000 1
# ΔH_f (0 K)   21 meV/atom

# Pr2Nd5Sc2, optimized geometry, DFT GGA-PBE
data_Pr2Nd5Sc2
_chemical_formula_sum 'Pr4 Nd10 Sc4'
_space_group_name_H-M_alt 'P 1'
_space_group_IT_number 1
_cell_length_a 10.235
_cell_length_b 5.641
_cell_length_c 11.810
_cell_angle_alpha 103.82
_cell_angle_beta 115.68
_cell_angle_gamma 90.00
loop_
_space_group_symop_operation_xyz
'x,y,z'
loop_
_atom_site_label
_atom_site_type_symbol
_atom_site_fract_x
_atom_site_fract_y
_atom_site_fract_z
_atom_site_occupancy
Pr1 Pr 0.000 0.927 0.000 1
Pr2 Pr 0.500 0.427 0.000 1
Pr3 Pr 0.306 0.676 0.500 1
Pr4 Pr 0.694 0.176 0.500 1
Nd1 Nd 0.027 0.316 0.778 1
Nd2 Nd 0.973 0.538 0.222 1
Nd3 Nd 0.251 0.816 0.778 1
Nd4 Nd 0.749 0.038 0.222 1
Nd5 Nd 0.289 0.084 0.316 1
Nd6 Nd 0.711 0.768 0.684 1
Nd7 Nd 0.527 0.584 0.316 1
Nd8 Nd 0.473 0.268 0.684 1
Nd9 Nd 0.092 0.175 0.500 1
Nd10 Nd 0.908 0.675 0.500 1
Sc1 Sc 0.208 0.473 0.093 1
Sc2 Sc 0.792 0.380 0.907 1
Sc3 Sc 0.385 0.973 0.093 1
Sc4 Sc 0.615 0.880 0.907 1
# ΔH_f (0 K)   110 meV/atom

# Pr4Nd6Sc, optimized geometry, DFT GGA-PBE
data_Pr4Nd6Sc
_chemical_formula_sum 'Pr8 Nd12 Sc2'
_space_group_name_H-M_alt 'P 1'
_space_group_IT_number 1
_cell_length_a 5.951
_cell_length_b 5.732
_cell_length_c 26.064
_cell_angle_alpha 90.00
_cell_angle_beta 90.00
_cell_angle_gamma 121.27
loop_
_space_group_symop_operation_xyz
'x,y,z'
loop_
_atom_site_label
_atom_site_type_symbol
_atom_site_fract_x
_atom_site_fract_y
_atom_site_fract_z
_atom_site_occupancy
Pr1 Pr 0.854 0.708 0.546 1
Pr2 Pr 0.450 0.900 0.124 1
Pr3 Pr 0.146 0.292 0.454 1
Pr4 Pr 0.550 0.100 0.876 1
Pr5 Pr 0.854 0.708 0.954 1
Pr6 Pr 0.146 0.292 0.046 1
Pr7 Pr 0.550 0.100 0.624 1
Pr8 Pr 0.450 0.900 0.376 1
Nd1 Nd 0.500 0.000 0.000 1
Nd2 Nd 0.500 0.000 0.500 1
Nd3 Nd 0.121 0.241 0.315 1
Nd4 Nd 0.879 0.759 0.685 1
Nd5 Nd 0.879 0.759 0.815 1
Nd6 Nd 0.121 0.241 0.185 1
Nd7 Nd 0.796 0.591 0.391 1
Nd8 Nd 0.204 0.409 0.609 1
Nd9 Nd 0.204 0.409 0.891 1
Nd10 Nd 0.796 0.591 0.109 1
Nd11 Nd 0.451 0.901 0.250 1
Nd12 Nd 0.549 0.099 0.750 1
Sc1 Sc 0.789 0.578 0.250 1
Sc2 Sc 0.211 0.422 0.750 1
# ΔH_f (0 K)   119 meV/atom

# PrNd4Sc2, optimized geometry, DFT GGA-PBE
data_PrNd4Sc2
_chemical_formula_sum 'Pr2 Nd8 Sc4'
_space_group_name_H-M_alt 'P 1'
_space_group_IT_number 1
_cell_length_a 8.739
_cell_length_b 6.524
_cell_length_c 9.002
_cell_angle_alpha 90.00
_cell_angle_beta 117.52
_cell_angle_gamma 90.00
loop_
_space_group_symop_operation_xyz
'x,y,z'
loop_
_atom_site_label
_atom_site_type_symbol
_atom_site_fract_x
_atom_site_fract_y
_atom_site_fract_z
_atom_site_occupancy
Pr1 Pr 0.248 0.750 0.263 1
Pr2 Pr 0.752 0.250 0.737 1
Nd1 Nd 0.591 0.493 0.228 1
Nd2 Nd 0.057 0.750 0.833 1
Nd3 Nd 0.943 0.250 0.167 1
Nd4 Nd 0.591 0.007 0.228 1
Nd5 Nd 0.008 0.250 0.565 1
Nd6 Nd 0.409 0.993 0.772 1
Nd7 Nd 0.409 0.507 0.772 1
Nd8 Nd 0.992 0.750 0.435 1
Sc1 Sc 0.797 0.750 0.000 1
Sc2 Sc 0.203 0.250 0.000 1
Sc3 Sc 0.364 0.250 0.418 1
Sc4 Sc 0.636 0.750 0.582 1
# ΔH_f (0 K)   176 meV/atom

# Pr10NdSc4, optimized geometry, DFT GGA-PBE
data_Pr10NdSc4
_chemical_formula_sum 'Pr10 Nd1 Sc4'
_space_group_name_H-M_alt 'P 1'
_space_group_IT_number 1
_cell_length_a 7.790
_cell_length_b 9.095
_cell_length_c 9.095
_cell_angle_alpha 79.43
_cell_angle_beta 64.64
_cell_angle_gamma 64.64
loop_
_space_group_symop_operation_xyz
'x,y,z'
loop_
_atom_site_label
_atom_site_type_symbol
_atom_site_fract_x
_atom_site_fract_y
_atom_site_fract_z
_atom_site_occupancy
Pr1 Pr 0.250 0.500 0.500 1
Pr2 Pr 0.676 0.357 0.871 1
Pr3 Pr 0.967 0.129 0.357 1
Pr4 Pr 0.454 0.871 0.643 1
Pr5 Pr 0.903 0.643 0.129 1
Pr6 Pr 0.324 0.643 0.129 1
Pr7 Pr 0.750 0.500 0.500 1
Pr8 Pr 0.097 0.357 0.871 1
Pr9 Pr 0.546 0.129 0.357 1
Pr10 Pr 0.033 0.871 0.643 1
Nd1 Nd 0.000 0.000 0.000 1
Sc1 Sc 0.431 0.868 0.271 1
Sc2 Sc 0.701 0.729 0.868 1
Sc3 Sc 0.299 0.271 0.132 1
Sc4 Sc 0.569 0.132 0.729 1
# ΔH_f (0 K)   512 meV/atom

# PrNd6Sc2, optimized geometry, DFT GGA-PBE
data_PrNd6Sc2
_chemical_formula_sum 'Pr1 Nd6 Sc2'
_space_group_name_H-M_alt 'P 1'
_space_group_IT_number 1
_cell_length_a 10.022
_cell_length_b 10.022
_cell_length_c 3.643
_cell_angle_alpha 94.23
_cell_angle_beta 94.23
_cell_angle_gamma 125.46
loop_
_space_group_symop_operation_xyz
'x,y,z'
loop_
_atom_site_label
_atom_site_type_symbol
_atom_site_fract_x
_atom_site_fract_y
_atom_site_fract_z
_atom_site_occupancy
Pr1 Pr 0.000 0.000 0.000 1
Nd1 Nd 0.845 0.501 0.809 1
Nd2 Nd 0.155 0.499 0.191 1
Nd3 Nd 0.334 0.334 0.689 1
Nd4 Nd 0.501 0.845 0.809 1
Nd5 Nd 0.499 0.155 0.191 1
Nd6 Nd 0.666 0.666 0.311 1
Sc1 Sc 0.836 0.164 0.500 1
Sc2 Sc 0.164 0.836 0.500 1
# ΔH_f (0 K)   125 meV/atom